No. 1
NaBNO2: relaxed, GGA-PBE.

Calculated values
Total magnetization: 0.4 Bohr magnetons per cell
Density: 3.19 g/cm3
Calculated total energy: -26.59 eV per cell
Formation energy from raw total energies: -0.07 eV/atom

Cell: 3.7343 3.7343 2.9774 Å, 90.00 90.00 90.00°
Site moments in Bohr magnetons follow the coordinates.
Positions (direct):
B1 0.0000 0.0000 0.0000  -0.01
O1 0.5000 0.0000 0.0000  0.10
O2 0.0000 0.5000 0.0000  0.10
N1 0.0000 0.0000 0.5000  0.15
Na1 0.5000 0.5000 0.5000  0.00

***

No. 2
Mn2CoRuN: relaxed, GGA-PBE.

Calculated values
Total magnetization: 3.9 Bohr magnetons per cell
Density: 8.61 g/cm3
Calculated total energy: -42.91 eV per cell
Formation energy from raw total energies: 0.03 eV/atom

Cell: 3.8342 3.8342 3.7260 Å, 90.00 90.00 90.00°
Site moments in Bohr magnetons follow the coordinates.
Positions (direct):
Co1 0.0000 0.0000 0.5000  -0.45
Mn1 0.5000 0.0000 0.0000  2.06
Mn2 0.0000 0.5000 0.0000  2.06
Ru1 0.5000 0.5000 0.5000  0.28
N1 0.0000 0.0000 0.0000  -0.07

***

No. 3
LaDyTlHg: relaxed, GGA-PBE.

Calculated values
Calculated formation energy: -0.43 eV/atom
Total magnetization: 0.7 Bohr magnetons per cell
Density: 10.16 g/cm3
Calculated total energy: -13.91 eV per cell

Cell: 5.4662 5.4662 5.4662 Å, 60.00 60.00 60.00°
Site moments in Bohr magnetons follow the coordinates.
Positions (direct):
Hg1 0.5000 0.5000 0.5000  0.03
Tl1 0.0000 0.0000 0.0000  0.00
Dy1 0.7500 0.7500 0.7500  0.23
La1 0.2500 0.2500 0.2500  0.14

***

No. 4
Er2ThTa: relaxed, GGA-PBE.

Calculated values
Calculated formation energy: 0.60 eV/atom
Total magnetization: 0.5 Bohr magnetons per cell
Density: 11.39 g/cm3
Calculated total energy: -26.00 eV per cell

Cell: 3.2870 3.2870 11.7978 Å, 81.99 81.99 60.00°
Site moments in Bohr magnetons follow the coordinates.
Positions (direct):
Ta1 0.0000 0.0000 0.0000  -0.26
Er1 0.0835 0.0835 0.7494  -0.07
Er2 0.9165 0.9165 0.2506  -0.07
Th1 0.5000 0.5000 0.5000  -0.01

***

No. 5
BaTaH2: relaxed, GGA-PBE.

Calculated values
Total magnetization: 0.0 Bohr magnetons per cell
Distance to the lowest polymorph of the same formula: 0.8647 eV per atom
Density: 8.29 g/cm3
Calculated total energy: -15.85 eV per cell

Cell: 4.4926 4.4926 4.4926 Å, 60.00 60.00 60.00°
Positions (direct):
Ba1 0.0000 0.0000 0.0000
Ta1 0.5000 0.5000 0.5000
H1 0.7500 0.7500 0.7500
H2 0.2500 0.2500 0.2500

***

No. 6
SrCd6Pt4: relaxed, GGA-PBE.

Calculated values
Calculated formation energy: -0.34 eV/atom
Total magnetization: 0.0 Bohr magnetons per cell
Density: 9.97 g/cm3
Calculated total energy: -35.04 eV per cell

Cell: 7.1502 7.1502 7.1502 Å, 89.27 120.42 120.42°
Positions (direct):
Cd1 0.6291 0.1081 0.1081
Cd2 0.0000 0.8919 0.5210
Cd3 0.0000 0.5210 0.8919
Cd4 0.3709 0.4790 0.4790
Cd5 0.5000 0.5000 0.0000
Cd6 0.5000 0.0000 0.5000
Pt1 0.3393 0.7425 0.7425
Pt2 0.6607 0.4032 0.4032
Pt3 0.0000 0.2575 0.5968
Pt4 0.0000 0.5968 0.2575
Sr1 0.0000 0.0000 0.0000